[1]
A plane-wave DFT calculation with meta-GGA SCAN was carried out for a PBEsol-optimized structure of Os2Ru.

a b c (Å): 2.715 5.080 6.369
angles (deg): 103.13 90.00 105.50
Fractional positions:
Os: 0.667 0.334 0.333
Os: 0.389 0.778 0.278
Os: 0.000 0.999 0.999
Os: 0.333 0.666 0.667
Ru: 0.722 0.444 0.945
Ru: 0.056 0.111 0.611

Output
The calculation puts the mass density at 19.43 g/cm3. Its density of states at the Fermi level is 0.6644 states/eV per atom. As for the formation energy: -0.0127 eV per atom. Its total energy is -59.541 eV per atom. For the volume, the calculation gives 41.1 Å³/f.u.



[2]
A plane-wave DFT calculation with meta-GGA SCAN was carried out for a PBEsol-optimized structure of TiNbB2.

a b c (Å): 3.088 3.270 4.600
angles (deg): 110.82 90.00 90.00
Fractional positions:
B: 0.000 0.443 0.886
B: 0.500 0.559 0.118
Ti: 0.000 0.144 0.289
Nb: 0.500 0.854 0.707

Output
The calculation puts the mass density at 6.21 g/cm3. Its density of states at the Fermi level is 0.4072 states/eV per atom. As for the formation energy: -0.8439 eV per atom. Its total energy is -16.849 eV per atom. For the volume, the calculation gives 43.4 Å³/f.u.



[3]
A plane-wave DFT calculation with meta-GGA SCAN was carried out for a PBEsol-optimized structure of BaSiRh2.

a b c (Å): 3.256 3.256 7.161
angles (deg): 90.00 90.00 90.00
Fractional positions:
Rh: 0.500 0.500 0.285
Rh: 0.000 0.000 0.060
Ba: 0.500 0.500 0.758
Si: 0.000 0.000 0.396

Output
The calculation puts the mass density at 8.12 g/cm3. Its density of states at the Fermi level is 0.9504 states/eV per atom. The uncorrected formation energy comes out at -86.9 meV/atom. Its total energy is -29.364 eV per atom. For the volume, the calculation gives 75.9 Å³/f.u.



[4]
A plane-wave DFT calculation with meta-GGA SCAN was carried out for a PBEsol-optimized structure of ZrAg3.

a b c (Å): 2.852 4.850 5.140
angles (deg): 90.00 90.00 90.00
Fractional positions:
Ag: 0.500 0.000 0.513
Ag: 0.500 0.500 0.824
Ag: 0.000 0.000 0.002
Zr: 0.000 0.500 0.327

Output
The calculation puts the mass density at 9.69 g/cm3. Its density of states at the Fermi level is 0.4060 states/eV per atom. As for the formation energy: 0.0320 eV per atom. Its total energy is -31.168 eV per atom. For the volume, the calculation gives 71.1 Å³/f.u.



[5]
A plane-wave DFT calculation with meta-GGA SCAN was carried out for a PBEsol-optimized structure of YCdNi2Rh.

a b c (Å): 4.407 4.407 5.295
angles (deg): 90.00 90.00 90.00
Fractional positions:
Cd: 0.000 0.000 0.500
Ni: 0.000 0.500 0.000
Ni: 0.500 0.000 0.000
Y: 0.000 0.000 0.000
Rh: 0.500 0.500 0.500

Output
The calculation puts the mass density at 6.81 g/cm3. Its density of states at the Fermi level is 0.3996 states/eV per atom. As for the formation energy: 1.6137 eV per atom. Its total energy is -23.261 eV per atom. For the volume, the calculation gives 102.9 Å³/f.u.



[6]
A plane-wave DFT calculation with meta-GGA SCAN was carried out for a PBEsol-optimized structure of ZrH.

a b c (Å): 3.170 3.170 5.001
angles (deg): 90.00 90.00 90.00
Fractional positions:
H: 0.000 0.000 0.250
H: 0.000 0.000 0.750
Zr: 0.500 0.000 0.500
Zr: 0.000 0.500 0.000

Output
The calculation puts the mass density at 6.10 g/cm3. Its density of states at the Fermi level is 0.4696 states/eV per atom. Its total energy is -17.578 eV per atom. For the volume, the calculation gives 25.1 Å³/f.u.